## ThAl2Ni3 (PBE-GGA)

Data for ThAl2Ni3 after structural relaxation.

Cell lengths 5.342, 5.342, 3.811 Å; angles 90.00, 90.00, 120.00 degrees
Element x y z (fractional)
Th1 0.000 0.000 0.000
Al1 0.333 0.667 0.000
Al2 0.667 0.333 0.000
Ni1 0.000 0.500 0.500
Ni2 0.500 0.000 0.500
Ni3 0.500 0.500 0.500

Output
The value obtained for the formation energy from the elements is -0.54 eV per atom. Its symmetry is P6/mmm. For the magnetic moment, the calculation gives 0.000 μB per atom. The total DFT energy (no corrections) comes out at -5.9099 eV/atom.